[1]
# La8GeSe4Cl3

An optimized crystal structure of La8GeSe4Cl3 (PBE, the Alexandria database).

Lattice parameters (Å, degrees): 8.5648 8.5648 20.9777 90.00 90.00 120.00
Space group R-3m (No. 166, hexagonal axes)
Asymmetric unit:
La  0.0000  0.0000  0.2480 [6 per cell]
La  0.0059  0.5030  0.7502 [18 per cell]
Ge  0.0000  0.0000  0.0000 [3 per cell]
Se  0.0000  0.0000  0.5000 [3 per cell]
Se  0.0000  0.5000  0.5000 [9 per cell]
Cl  0.0000  0.5000  0.0000 [9 per cell]

Output
E_tot in eV/cell: -273.6
N(E_F) in states/eV/atom: 0.66
Energy relative to the elements, uncorrected in eV per atom: -1.73

[2]
# La4GeSe2Cl

An optimized crystal structure of La4GeSe2Cl (PBE, the Alexandria database).

Lattice parameters (Å, degrees): 6.090 6.090 12.280 90.00 90.00 90.00
Space group I4/mmm (No. 139)
Asymmetric unit:
La  0.000  0.000  0.244 [4 per cell]
La  0.000  0.500  0.000 [4 per cell]
Ge  0.000  0.000  0.000 [2 per cell]
Se  0.000  0.500  0.250 [4 per cell]
Cl  0.000  0.000  0.500 [2 per cell]

Output
E_tot in eV/cell: -93.2
N(E_F) in states/eV/atom: 0.48
Energy relative to the elements, uncorrected in eV per atom: -1.68

[3]
# La6GeSe2Cl3

An optimized crystal structure of La6GeSe2Cl3 (PBE, the Alexandria database).

Lattice parameters (Å, degrees): 7.451 12.956 7.280 90.00 110.17 90.00
Space group C2/m (No. 12)
Asymmetric unit:
La  0.247  0.165  0.245 [8 per cell]
La  0.250  0.000  0.756 [4 per cell]
Ge  0.000  0.000  0.000 [2 per cell]
Se  0.000  0.333  0.000 [4 per cell]
Cl  0.000  0.164  0.500 [4 per cell]
Cl  0.000  0.500  0.500 [2 per cell]

Output
E_tot in eV/cell: -133.0
N(E_F) in states/eV/atom: 0.55
Energy relative to the elements, uncorrected in eV per atom: -1.65

[4]
# La6GeSe3Cl2

An optimized crystal structure of La6GeSe3Cl2 (PBE, the Alexandria database).

Lattice parameters (Å, degrees): 18.673 4.320 8.546 90.00 103.16 90.00
Space group C2/m (No. 12)
Asymmetric unit:
La  0.001  0.000  0.255 [4 per cell]
La  0.165  0.500  0.576 [4 per cell]
La  0.167  0.500  0.083 [4 per cell]
Ge  0.000  0.500  0.500 [2 per cell]
Se  0.000  0.500  0.000 [2 per cell]
Se  0.167  0.000  0.329 [4 per cell]
Cl  0.166  0.000  0.830 [4 per cell]

Output
E_tot in eV/cell: -137.4
N(E_F) in states/eV/atom: 0.53
Energy relative to the elements, uncorrected in eV per atom: -1.70

[5]
# La4GeSeCl2

An optimized crystal structure of La4GeSeCl2 (PBE, the Alexandria database).

Lattice parameters (Å, degrees): 7.287 4.336 7.507 90.00 110.11 90.00
Space group P2/m (No. 10)
Asymmetric unit:
La  0.241  0.000  0.242 [2 per cell]
La  0.243  0.500  0.753 [2 per cell]
Ge  0.000  0.500  0.000 [1 per cell]
Se  0.000  0.000  0.500 [1 per cell]
Cl  0.500  0.000  0.000 [1 per cell]
Cl  0.500  0.500  0.500 [1 per cell]

Output
E_tot in eV/cell: -44.1
N(E_F) in states/eV/atom: 0.66
Energy relative to the elements, uncorrected in eV per atom: -1.58

[6]
# La8Ge3Se4Cl

An optimized crystal structure of La8Ge3Se4Cl (PBE, the Alexandria database).

Lattice parameters (Å, degrees): 8.7271 8.7271 21.3212 90.00 90.00 120.00
Space group R-3m (No. 166, hexagonal axes)
Asymmetric unit:
La  0.0000  0.0000  0.2476 [6 per cell]
La  0.0086  0.5043  0.7518 [18 per cell]
Ge  0.0000  0.5000  0.5000 [9 per cell]
Se  0.0000  0.0000  0.0000 [3 per cell]
Se  0.0000  0.5000  0.0000 [9 per cell]
Cl  0.0000  0.0000  0.5000 [3 per cell]

Output
E_tot in eV/cell: -283.5
N(E_F) in states/eV/atom: 0.27
Energy relative to the elements, uncorrected in eV per atom: -1.59

[7]
# La4SiGeCl2

An optimized crystal structure of La4SiGeCl2 (PBE, the Alexandria database).

Lattice parameters (Å, degrees): 7.349 4.393 7.593 90.00 110.21 90.00
Space group P2/m (No. 10)
Asymmetric unit:
La  0.234  0.000  0.242 [2 per cell]
La  0.235  0.500  0.747 [2 per cell]
Si  0.000  0.500  0.000 [1 per cell]
Ge  0.000  0.000  0.500 [1 per cell]
Cl  0.500  0.000  0.000 [1 per cell]
Cl  0.500  0.500  0.500 [1 per cell]

Output
E_tot in eV/cell: -43.9
N(E_F) in states/eV/atom: 0.50
Energy relative to the elements, uncorrected in eV per atom: -1.30

[8]
# La6Si2GeCl3

An optimized crystal structure of La6Si2GeCl3 (PBE, the Alexandria database).

Lattice parameters (Å, degrees): 7.590 13.126 7.372 90.00 110.07 90.00
Space group C2/m (No. 12)
Asymmetric unit:
La  0.242  0.000  0.233 [4 per cell]
La  0.246  0.332  0.233 [8 per cell]
Si  0.000  0.167  0.000 [4 per cell]
Ge  0.000  0.500  0.000 [2 per cell]
Cl  0.000  0.000  0.500 [2 per cell]
Cl  0.000  0.334  0.500 [4 per cell]

Output
E_tot in eV/cell: -132.1
N(E_F) in states/eV/atom: 0.45
Energy relative to the elements, uncorrected in eV per atom: -1.29

[9]
# LaSi2GeCl

An optimized crystal structure of LaSi2GeCl (PBE, the Alexandria database).

Lattice parameters (Å, degrees): 5.648 5.648 5.289 90.00 90.00 90.00
Space group P4/mmm (No. 123)
Asymmetric unit:
La  0.000  0.000  0.000 [1 per cell]
Si  0.000  0.500  0.000 [2 per cell]
Ge  0.500  0.500  0.500 [1 per cell]
Cl  0.000  0.000  0.500 [1 per cell]

Output
E_tot in eV/cell: -18.9
N(E_F) in states/eV/atom: 0.64
Energy relative to the elements, uncorrected in eV per atom: 0.66

[10]
# La2Sm4Ge3Cl2

An optimized crystal structure of La2Sm4Ge3Cl2 (PBE, the Alexandria database).

Lattice parameters (Å, degrees): 5.180 5.180 23.190 90.00 90.00 90.00
Space group I4/mmm (No. 139)
Asymmetric unit:
La  0.000  0.000  0.202 [4 per cell]
Sm  0.000  0.500  0.088 [8 per cell]
Ge  0.000  0.000  0.335 [4 per cell]
Ge  0.000  0.000  0.500 [2 per cell]
Cl  0.000  0.000  0.066 [4 per cell]

Output
E_tot in eV/cell: -110.2
N(E_F) in states/eV/atom: 0.97
Energy relative to the elements, uncorrected in eV per atom: -0.80

[11]
# LaTbGeCl

An optimized crystal structure of LaTbGeCl (PBE, the Alexandria database).

Lattice parameters (Å, degrees): 5.921 4.951 8.677 90.00 90.00 90.00
Space group Amm2 (No. 38)
Asymmetric unit:
La  0.000  0.000  0.000 [2 per cell]
Tb  0.500  0.000  0.669 [2 per cell]
Ge  0.500  0.000  0.001 [2 per cell]
Cl  0.000  0.000  0.669 [2 per cell]

Output
E_tot in eV/cell: -40.1
N(E_F) in states/eV/atom: 0.47
Energy relative to the elements, uncorrected in eV per atom: -1.00

[12]
# La6Tc2GeCl3

An optimized crystal structure of La6Tc2GeCl3 (PBE, the Alexandria database).

Lattice parameters (Å, degrees): 19.514 4.232 8.971 90.00 106.35 90.00
Space group C2/m (No. 12)
Asymmetric unit:
La  0.025  0.000  0.251 [4 per cell]
La  0.159  0.500  0.117 [4 per cell]
La  0.174  0.500  0.564 [4 per cell]
Tc  0.155  0.000  0.339 [4 per cell]
Ge  0.000  0.500  0.000 [2 per cell]
Cl  0.000  0.500  0.500 [2 per cell]
Cl  0.172  0.000  0.843 [4 per cell]

Output
E_tot in eV/cell: -143.9
N(E_F) in states/eV/atom: 0.38
Energy relative to the elements, uncorrected in eV per atom: -0.96

Which of these has the lowest E_tot?
La8Ge3Se4Cl

What is the energy relative to the elements, uncorrected in the eighth record?
-1.29 eV per atom

Which of these has the lowest N(E_F)?
La8Ge3Se4Cl